[1]
# PBE-GGA Ba2PmInHg6, relaxed
data_Ba2PmInHg6
_chemical_formula_sum 'Ba8 Pm4 In4 Hg24'
_cell_length_a 11.5013
_cell_length_b 11.5013
_cell_length_c 11.5013
_cell_angle_alpha 90.00
_cell_angle_beta 90.00
_cell_angle_gamma 90.00
_symmetry_space_group_name_H-M 'F m -3 m'
_symmetry_Int_Tables_number 225
_symmetry_space_group_name_Hall '-F 4 2 3'
loop_
_atom_site_label
_atom_site_fract_x
_atom_site_fract_y
_atom_site_fract_z
_atom_site_occupancy
Ba1 0.2500 0.2500 0.2500 1
Pm1 0.0000 0.0000 0.0000 1
In1 0.0000 0.0000 0.5000 1
Hg1 0.0000 0.0000 0.2562 1
# E_tot = -1.502 eV/atom
# Crystal system = cubic
# DOS at the Fermi energy = 1.390 states/eV per atom
# Formation energy = -0.19 eV per atom
# V = 38.04 A^3/atom

[2]
# PBE-GGA MgAl2TlCl8, relaxed
data_MgAl2TlCl8
_chemical_formula_sum 'Mg3 Al6 Tl3 Cl24'
_cell_length_a 6.4880
_cell_length_b 6.4880
_cell_length_c 29.4150
_cell_angle_alpha 90.00
_cell_angle_beta 90.00
_cell_angle_gamma 120.00
_symmetry_space_group_name_H-M 'R -3'
_symmetry_Int_Tables_number 148
_symmetry_space_group_name_Hall '-R 3'
loop_
_atom_site_label
_atom_site_fract_x
_atom_site_fract_y
_atom_site_fract_z
_atom_site_occupancy
Mg1 0.0000 0.0000 0.0000 1
Al1 0.0000 0.0000 0.2535 1
Tl1 0.0000 0.0000 0.5000 1
Cl1 0.0000 0.0000 0.1804 1
Cl2 0.0088 0.3526 0.3884 1
# Raw formation energy = -1.326 eV per atom
# E_tot = -3.511 eV/atom
# Crystal system = trigonal
# DOS at the Fermi energy = 0.292 states/eV per atom
# V = 29.79 A^3/atom